# 1
The following is a PBE-GGA calculation of a relaxed Sm2AlCdAu4 crystal, from the Alexandria database.

Cell: 8.414 8.414 8.414 Å, 34.62 34.62 34.62°
Positions (direct):
Sm (0.247, 0.247, 0.247)
Sm (0.753, 0.753, 0.753)
Al (0.000, 0.000, 0.000)
Cd (0.500, 0.500, 0.500)
Au (0.114, 0.114, 0.114)
Au (0.373, 0.373, 0.373)
Au (0.627, 0.627, 0.627)
Au (0.886, 0.886, 0.886)

Results
The symmetry is No. 166.

***

# 2
The following is a PBE-GGA calculation of a relaxed Sb2PtPb crystal, from the Alexandria database.

Cell: 3.348 3.348 9.109 Å, 90.00 90.00 90.00°
Positions (direct):
Sb (0.000, 0.000, 0.000)
Sb (0.500, 0.500, 0.315)
Pt (0.500, 0.500, 0.838)
Pb (0.000, 0.000, 0.610)

Results
The symmetry is No. 99. For the formation energy without anion corrections, the calculation gives -58 meV per atom.

***

# 3
The following is a PBE-GGA calculation of a relaxed AcIn3 crystal, from the Alexandria database.

Cell: 7.199 7.199 5.241 Å, 90.00 90.00 120.00°
Positions (direct):
Ac (0.333, 0.667, 0.250)
Ac (0.667, 0.333, 0.750)
In (0.148, 0.297, 0.750)
In (0.148, 0.852, 0.750)
In (0.297, 0.148, 0.250)
In (0.703, 0.852, 0.750)
In (0.852, 0.148, 0.250)
In (0.852, 0.703, 0.250)

Results
The symmetry is No. 194.

***

# 4
The following is a PBE-GGA calculation of a relaxed Ce2PrNd3P6 crystal, from the Alexandria database.

Cell: 7.178 7.178 7.177 Å, 99.60 99.60 120.00°
Positions (direct):
Ce (0.167, 0.833, 0.000)
Ce (0.833, 0.167, 0.000)
Pr (0.500, 0.500, 0.000)
Nd (0.000, 0.000, 0.500)
Nd (0.334, 0.666, 0.500)
Nd (0.666, 0.334, 0.500)
P (0.079, 0.418, 0.755)
P (0.242, 0.242, 0.245)
P (0.418, 0.079, 0.755)
P (0.582, 0.921, 0.245)
P (0.758, 0.758, 0.755)
P (0.921, 0.582, 0.245)

Results
The symmetry is No. 12.

***

The calculation returns the following E values, one per record and in order: -4.071 -4.556 -3.503 -6.815 eV/atom.